Entry 1:
A plane-wave DFT calculation with PBE was carried out for a geometry-optimized Hf2TeIrSe structure.

Its crystal system is tetragonal. As for the density of states at the Fermi level: 5.8 states/eV/cell. As for the uncorrected formation energy: 0.307 eV/atom.

Cell: 5.1496 5.1496 4.9578 Å, 90.00 90.00 90.00°
Closest atoms and distances in Å follow each position.
Space group P4/mmm (No. 123)
One atom of each set of equivalent atoms:
Hf: 0.0000 0.5000 0.0000 (multiplicity 2)  2 Ir 2.57
Te: 0.0000 0.0000 0.5000 (multiplicity 1)  2 Ir 2.48
Ir: 0.0000 0.0000 0.0000 (multiplicity 1)  2 Te 2.48, 4 Hf 2.57
Se: 0.5000 0.5000 0.5000 (multiplicity 1)  8 Hf 3.57, 4 Te 3.64



Entry 2:
A plane-wave DFT calculation with PBE was carried out for a geometry-optimized Hf2IrWSe structure.

Its crystal system is tetragonal. As for the density of states at the Fermi level: 2.4 states/eV/cell. As for the uncorrected formation energy: 1.073 eV/atom.

Cell: 5.0865 5.0865 4.5549 Å, 90.00 90.00 90.00°
Closest atoms and distances in Å follow each position.
Space group P4/mmm (No. 123)
One atom of each set of equivalent atoms:
Hf: 0.0000 0.5000 0.0000 (multiplicity 2)  2 W 2.54
Ir: 0.0000 0.0000 0.5000 (multiplicity 1)  8 Hf 3.41, 4 Se 3.60
W: 0.5000 0.5000 0.0000 (multiplicity 1)  2 Se 2.28, 4 Hf 2.54
Se: 0.5000 0.5000 0.5000 (multiplicity 1)  2 W 2.28